## Zr2VCd (PBE-GGA)

Data for a relaxed Zr2VCd crystal.

Lattice parameters (Å, degrees): 4.1038 4.1038 20.5915 90.00 90.00 90.00
Space group I-42d (No. 122)
Symmetry-distinct sites (fractional):
Zr1 0.2423 0.2500 0.1250 [8 per cell]
V1 0.0000 0.0000 0.0000 [4 per cell]
Cd1 0.0000 0.0000 0.5000 [4 per cell]

Output
- D(E_F) (states/eV/f.u.) = 5.0
- E_form (eV/f.u.) = 2.57
- calculated total energy (eV/atom) = -6.141
- crystal system = tetragonal
- M_tot (μB/cell) = 5.2


## ZrVCd2 (PBE-GGA)

Data for a relaxed ZrVCd2 crystal.

Lattice parameters (Å, degrees): 6.8686 6.8686 6.8686 90.00 90.00 90.00
Space group Fm-3m (No. 225)
Symmetry-distinct sites (fractional):
Zr1 0.0000 0.0000 0.0000 [4 per cell]
V1 0.0000 0.0000 0.5000 [4 per cell]
Cd1 0.2500 0.2500 0.2500 [8 per cell]

Output
- D(E_F) (states/eV/f.u.) = 4.8
- E_form (eV/f.u.) = 0.91
- calculated total energy (eV/atom) = -4.646
- crystal system = cubic
- M_tot (μB/cell) = 12.6
- energy relative to the lowest polymorph listed for this composition (meV per atom) = 0.0


## CdW (PBE-GGA)

Data for a relaxed CdW crystal.

Lattice parameters (Å, degrees): 2.8626 2.8626 31.1080 90.00 90.00 120.00
Space group R-3m (No. 166, hexagonal axes)
Symmetry-distinct sites (fractional):
Cd1 0.0000 0.0000 0.1208 [6 per cell]
W1 0.0000 0.0000 0.3712 [6 per cell]

Output
- D(E_F) (states/eV/f.u.) = 1.2
- E_form (eV/f.u.) = 0.95
- calculated total energy (eV/atom) = -6.458
- crystal system = trigonal
- M_tot (μB/cell) = 0.0
- energy relative to the lowest polymorph listed for this composition (meV per atom) = 14.5